CaPaTc | PBE | optimized geometry

The calculation puts the formation energy from the elements at 45 meV per atom.

a b c (Å): 4.3845 4.3911 10.6259
angles (deg): 78.13 90.00 119.95
Last column: nearest neighbours and their distance in Å.
Element x y z (fractional)
Pa 0.1265 0.2529 0.1213  3 Tc 2.58-2.59
Pa 0.8735 0.7471 0.8787  3 Tc 2.58-2.59
Ca 0.3786 0.7572 0.3649  3 Tc 3.24, 3 Pa 3.57
Ca 0.6214 0.2428 0.6351  3 Tc 3.24, 3 Pa 3.57
Tc 0.2234 0.4467 0.8308  3 Pa 2.58-2.59
Tc 0.7766 0.5533 0.1692  3 Pa 2.58-2.59

CaPaTc4 | PBE | optimized geometry

The calculation puts the formation energy from the elements at 102 meV per atom.

a b c (Å): 5.3961 5.3961 5.3961
angles (deg): 60.00 60.00 60.00
Last column: nearest neighbours and their distance in Å.
Element x y z (fractional)
Ca 0.2500 0.2500 0.2500  12 Tc 3.16, 4 Pa 3.30
Pa 0.0000 0.0000 0.0000  12 Tc 3.16, 4 Ca 3.30
Tc 0.6249 0.6249 0.1254  6 Tc 2.70
Tc 0.6249 0.1254 0.6249  6 Tc 2.70
Tc 0.6249 0.6249 0.6249  6 Tc 2.70
Tc 0.1254 0.6249 0.6249  6 Tc 2.70

Ca2Pa2Te7 | PBE | optimized geometry

The calculation puts the uncorrected formation energy at -0.91 eV/atom.

a b c (Å): 7.3515 7.6704 7.3515
angles (deg): 90.00 96.62 90.00
Last column: nearest neighbours and their distance in Å.
Element x y z (fractional)
Ca 0.7367 0.5000 0.7367  6 Te 3.08-3.34
Ca 0.2633 0.5000 0.2633  6 Te 3.08-3.34
Pa 0.7271 0.0000 0.2729  7 Te 3.00-3.13
Pa 0.2729 0.0000 0.7271  7 Te 3.00-3.13
Te 0.9998 0.2527 0.5003  2 Pa 3.13, 2 Ca 3.34
Te 0.5003 0.7473 0.9998  2 Pa 3.13, 2 Ca 3.34
Te 0.0002 0.7473 0.4997  2 Pa 3.13, 2 Ca 3.34
Te 0.4997 0.2527 0.0002  2 Pa 3.13, 2 Ca 3.34
Te 0.0000 0.0000 0.0000  2 Pa 3.00
Te 0.5002 0.7657 0.4998  2 Pa 3.07-3.08, 2 Ca 3.08
Te 0.4998 0.2343 0.5002  2 Pa 3.07-3.08, 2 Ca 3.08

Ca2PaTe5 | PBE | optimized geometry

The calculation puts the uncorrected formation energy at -0.67 eV/atom.

a b c (Å): 5.6053 7.6136 7.6136
angles (deg): 90.00 90.00 90.00
Last column: nearest neighbours and their distance in Å.
Element x y z (fractional)
Ca 0.5000 0.5000 0.0000  10 Te 3.81-3.90
Ca 0.5000 0.0000 0.5000  10 Te 3.81-3.90
Pa 0.0000 0.0000 0.0000  6 Te 2.80-2.96
Te 0.0000 0.7254 0.7254  1 Pa 2.96
Te 0.0000 0.2746 0.7254  1 Pa 2.96
Te 0.0000 0.7254 0.2746  1 Pa 2.96
Te 0.5000 0.0000 0.0000  2 Pa 2.80
Te 0.0000 0.2746 0.2746  1 Pa 2.96

CaPaTe2 | PBE | optimized geometry

The calculation puts the uncorrected formation energy at -0.65 eV/atom.

a b c (Å): 4.1891 4.1891 10.3891
angles (deg): 78.37 78.37 60.00
Last column: nearest neighbours and their distance in Å.
Element x y z (fractional)
Ca 0.0000 0.0000 0.0000  2 Te 3.11
Pa 0.5000 0.5000 0.5000  6 Te 3.10
Te 0.1027 0.1027 0.6920  3 Pa 3.10, 1 Ca 3.11
Te 0.8973 0.8973 0.3080  3 Pa 3.10, 1 Ca 3.11

CaPa2Te4 | PBE | optimized geometry

The calculation puts the uncorrected formation energy at -0.93 eV/atom.

a b c (Å): 4.2680 7.2957 15.5347
angles (deg): 90.00 90.00 107.01
Last column: nearest neighbours and their distance in Å.
Element x y z (fractional)
Ca 0.6004 0.2009 0.7500  6 Te 3.15-3.26
Ca 0.3996 0.7991 0.2500  6 Te 3.15-3.26
Pa 0.1442 0.2884 0.4385  6 Te 3.08-3.12
Pa 0.8558 0.7116 0.9385  6 Te 3.08-3.12
Pa 0.1442 0.2884 0.0615  6 Te 3.08-3.12
Pa 0.8558 0.7116 0.5615  6 Te 3.08-3.12
Te 0.7867 0.5734 0.1283  3 Pa 3.10, 2 Ca 3.26
Te 0.7867 0.5734 0.3717  3 Pa 3.10, 2 Ca 3.26
Te 0.2133 0.4266 0.8717  3 Pa 3.10, 2 Ca 3.26
Te 0.2133 0.4266 0.6283  3 Pa 3.10, 2 Ca 3.26
Te 0.9340 0.8680 0.7500  2 Pa 3.12, 2 Ca 3.15
Te 0.0660 0.1320 0.2500  2 Pa 3.12, 2 Ca 3.15
Te 0.5000 0.0000 0.0000  4 Pa 3.08
Te 0.5000 0.0000 0.5000  4 Pa 3.08

CaPaTe2 | PBE | optimized geometry

The calculation puts the uncorrected formation energy at -0.95 eV/atom.

a b c (Å): 3.8113 3.8113 7.6819
angles (deg): 90.00 90.00 90.00
Last column: nearest neighbours and their distance in Å.
Element x y z (fractional)
Ca 0.5000 0.5000 0.5000  8 Te 3.37
Pa 0.5000 0.5000 0.0000  8 Te 3.25
Te 0.0000 0.0000 0.7639  4 Pa 3.25, 4 Ca 3.37, 1 Te 3.63
Te 0.0000 0.0000 0.2361  4 Pa 3.25, 4 Ca 3.37, 1 Te 3.63

Ca2PaTl3Te6 | PBE | optimized geometry

The calculation puts the uncorrected formation energy at -0.94 eV/atom.

a b c (Å): 7.8202 7.8202 8.5363
angles (deg): 98.74 98.74 119.87
Last column: nearest neighbours and their distance in Å.
Element x y z (fractional)
Ca 0.3340 0.6660 0.0000  6 Te 3.19-3.22
Ca 0.6660 0.3340 0.0000  6 Te 3.19-3.22
Pa 0.0000 0.0000 0.0000  6 Te 3.02-3.04
Tl 0.1688 0.8312 0.5000  6 Te 3.43-3.58
Tl 0.8312 0.1688 0.5000  6 Te 3.43-3.58
Tl 0.5000 0.5000 0.5000  6 Te 3.45-3.57
Te 0.9286 0.6131 0.7861  1 Pa 3.02, 2 Ca 3.19-3.20
Te 0.7583 0.7583 0.2193  1 Pa 3.04, 2 Ca 3.22
Te 0.0714 0.3869 0.2139  1 Pa 3.02, 2 Ca 3.19-3.20
Te 0.6131 0.9286 0.7861  1 Pa 3.02, 2 Ca 3.19-3.20
Te 0.2417 0.2417 0.7807  1 Pa 3.04, 2 Ca 3.22
Te 0.3869 0.0714 0.2139  1 Pa 3.02, 2 Ca 3.19-3.20

CaPaTl | PBE | optimized geometry

The calculation puts the formation energy from the elements at 208 meV per atom.

a b c (Å): 9.2033 6.8381 6.0225
angles (deg): 112.89 90.00 90.00
Last column: nearest neighbours and their distance in Å.
Element x y z (fractional)
Tl 0.5630 0.3145 0.7462  4 Pa 3.24-3.52, 5 Ca 3.32-3.56, 1 Tl 3.33
Tl 0.0630 0.1855 0.2538  4 Pa 3.24-3.52, 5 Ca 3.32-3.56, 1 Tl 3.33
Tl 0.4370 0.6855 0.2538  4 Pa 3.24-3.52, 5 Ca 3.32-3.56, 1 Tl 3.33
Tl 0.9370 0.8145 0.7462  4 Pa 3.24-3.52, 5 Ca 3.32-3.56, 1 Tl 3.33
Pa 0.0801 0.6248 0.1675  1 Pa 2.55
Pa 0.4199 0.1248 0.1675  1 Pa 2.55
Pa 0.9199 0.3752 0.8325  1 Pa 2.55
Pa 0.5801 0.8752 0.8325  1 Pa 2.55
Ca 0.2279 0.0761 0.6835  4 Pa 3.31-3.70, 5 Tl 3.32-3.56, 2 Ca 3.44
Ca 0.2721 0.5761 0.6835  4 Pa 3.31-3.70, 5 Tl 3.32-3.56, 2 Ca 3.44
Ca 0.7721 0.9239 0.3165  4 Pa 3.31-3.70, 5 Tl 3.32-3.56, 2 Ca 3.44
Ca 0.7279 0.4239 0.3165  4 Pa 3.31-3.70, 5 Tl 3.32-3.56, 2 Ca 3.44

Ca2PaTl | PBE | optimized geometry

The calculation puts the formation energy from the elements at 284 meV per atom.

a b c (Å): 3.4143 3.4143 12.1476
angles (deg): 81.92 81.92 60.00
Last column: nearest neighbours and their distance in Å.
Element x y z (fractional)
Tl 0.5000 0.5000 0.5000  6 Ca 3.29, 6 Tl 3.41
Pa 0.0000 0.0000 0.0000  2 Ca 3.36, 6 Pa 3.41
Ca 0.0934 0.0934 0.7198  3 Tl 3.29, 1 Pa 3.36, 6 Ca 3.41
Ca 0.9066 0.9066 0.2802  3 Tl 3.29, 1 Pa 3.36, 6 Ca 3.41

CaTmPa | PBE | optimized geometry

The calculation puts the formation energy from the elements at 113 meV per atom.

a b c (Å): 3.4672 4.8992 16.2176
angles (deg): 107.52 102.27 45.20
Last column: nearest neighbours and their distance in Å.
Element x y z (fractional)
Ca 0.5216 0.3437 0.3167  4 Ca 3.47-3.48, 4 Tm 3.77
Ca 0.5240 0.6409 0.1165  4 Ca 3.47-3.48, 4 Tm 3.76-3.78
Tm 0.5218 0.0283 0.5017  4 Pa 3.34, 4 Tm 3.47-3.48
Tm 0.5243 0.9556 0.9315  4 Pa 3.34, 4 Tm 3.47-3.48
Pa 0.5226 0.6738 0.6482  8 Pa 3.24-3.48, 4 Tm 3.34
Pa 0.5235 0.3101 0.7851  8 Pa 3.24-3.48, 4 Tm 3.34

CaY2Pa | PBE | optimized geometry

The calculation puts the formation energy from the elements at 413 meV per atom.

a b c (Å): 3.3602 3.3602 12.8477
angles (deg): 82.49 82.49 60.00
Last column: nearest neighbours and their distance in Å.
Element x y z (fractional)
Y 0.0840 0.0840 0.7479  1 Pa 3.20, 6 Y 3.36
Y 0.9160 0.9160 0.2521  1 Pa 3.20, 6 Y 3.36
Ca 0.5000 0.5000 0.5000  6 Ca 3.36, 6 Y 3.70
Pa 0.0000 0.0000 0.0000  2 Y 3.20, 6 Pa 3.36